No. 1
This record from the Alexandria database describes a geometry-optimized HfTl2MoO6 structure. The functional is GGA+U.

Lattice parameters (Å, degrees): 5.8020 5.8020 5.8020 60.00 60.00 89.99
With the nearest neighbours (Å) after each atom.
Fractional coordinates of all 10 atoms:
1 O 0.7405 0.2595 0.0000  1 Mo 1.97, 1 Hf 2.13
2 O 0.2595 0.2595 0.4810  1 Mo 1.97, 1 Hf 2.13
3 O 0.7405 0.7404 0.0000  1 Mo 1.97, 1 Hf 2.13
4 Hf 0.0000 0.0000 0.0000  6 O 2.13
5 Tl 0.2500 0.7500 0.5000  12 O 2.90
6 O 0.2595 0.2596 0.0000  1 Mo 1.97, 1 Hf 2.13
7 O 0.2595 0.7405 0.0000  1 Mo 1.97, 1 Hf 2.13
8 Mo 0.5000 0.5000 0.0000  6 O 1.97
9 Tl 0.7500 0.2500 0.5000  12 O 2.90
10 O 0.7405 0.7405 0.5190  1 Mo 1.97, 1 Hf 2.13

## Properties
DFT total energy = -70.054 eV per formula unit
Space group = Fm-3m, No. 225


No. 2
This record from the Alexandria database describes a geometry-optimized Hf2TlMoO8 structure. The functional is GGA+U.

Lattice parameters (Å, degrees): 4.8638 4.8640 6.6055 90.00 90.00 90.22
With the nearest neighbours (Å) after each atom.
Fractional coordinates of all 12 atoms:
1 O 0.2005 0.7997 0.7796  1 Mo 2.01, 1 Hf 2.07
2 O 0.7076 0.7074 0.0000  1 Mo 2.01, 2 Hf 2.18
3 Mo 0.0000 0.0000 0.0000  6 O 2.01
4 O 0.2005 0.7996 0.2204  1 Mo 2.01, 1 Hf 2.07
5 O 0.2924 0.2925 0.0000  1 Mo 2.01, 2 Hf 2.18
6 Tl 0.0000 0.0000 0.5000  6 O 2.19-2.31
7 O 0.7995 0.2003 0.2204  1 Mo 2.01, 1 Hf 2.07
8 O 0.6804 0.6803 0.5000  2 Hf 2.06, 1 Tl 2.19
9 Hf 0.5000 0.5000 0.7495  6 O 2.06-2.18
10 O 0.7995 0.2004 0.7796  1 Mo 2.01, 1 Hf 2.07
11 Hf 0.5000 0.5000 0.2505  6 O 2.06-2.18
12 O 0.3196 0.3197 0.5000  2 Hf 2.06, 1 Tl 2.19

## Properties
DFT total energy = -97.148 eV per formula unit
Space group = Cmmm, No. 65


No. 3
This record from the Alexandria database describes a geometry-optimized HfTl2Mo3O12 structure. The functional is GGA+U.

Lattice parameters (Å, degrees): 7.4867 7.4867 7.4867 59.40 59.40 59.40
With the nearest neighbours (Å) after each atom.
Fractional coordinates of all 18 atoms:
1 O 0.0571 0.6938 0.6938  2 Mo 1.95
2 Tl 0.6613 0.6613 0.6613  6 O 2.91-3.23
3 O 0.9429 0.3062 0.3062  2 Mo 1.95
4 O 0.0650 0.0650 0.6719  1 Mo 1.91, 1 Hf 2.08
5 O 0.6938 0.6938 0.0571  2 Mo 1.95
6 O 0.3062 0.3062 0.9429  2 Mo 1.95
7 Mo 0.5000 0.0000 0.0000  6 O 1.91-1.95
8 O 0.0650 0.6719 0.0650  1 Mo 1.91, 1 Hf 2.08
9 Tl 0.3387 0.3387 0.3387  6 O 2.91-3.23
10 O 0.6938 0.0571 0.6938  2 Mo 1.95
11 Hf 0.0000 0.0000 0.0000  6 O 2.08
12 O 0.9350 0.9350 0.3281  1 Mo 1.91, 1 Hf 2.08
13 O 0.3062 0.9429 0.3062  2 Mo 1.95
14 O 0.3281 0.9350 0.9350  1 Mo 1.91, 1 Hf 2.08
15 O 0.9350 0.3281 0.9350  1 Mo 1.91, 1 Hf 2.08
16 Mo 0.0000 0.0000 0.5000  6 O 1.91-1.95
17 Mo 0.0000 0.5000 0.0000  6 O 1.91-1.95
18 O 0.6719 0.0650 0.0650  1 Mo 1.91, 1 Hf 2.08

## Properties
DFT total energy = -127.396 eV per formula unit
Space group = R-3m, No. 166


No. 4
This record from the Alexandria database describes a geometry-optimized HfTl8Mo6O24 structure. The functional is GGA+U.

Lattice parameters (Å, degrees): 11.2628 11.2628 8.3610 77.22 77.22 119.13
With the nearest neighbours (Å) after each atom.
Fractional coordinates of all 39 atoms:
1 Mo 0.9643 0.2759 0.6861  4 O 1.78-1.84
2 O 0.1233 0.9714 0.8073  1 Mo 1.84
3 O 0.2218 0.7933 0.2879  1 Mo 1.78
4 O 0.6285 0.4806 0.1933  1 Mo 1.78
5 O 0.0286 0.8767 0.1927  1 Mo 1.84
6 O 0.6458 0.9198 0.5442  1 Mo 1.79
7 Mo 0.2759 0.9643 0.6861  4 O 1.78-1.84
8 O 0.4806 0.6285 0.1933  1 Mo 1.78
9 O 0.0275 0.4170 0.7728  1 Mo 1.79
10 O 0.1894 0.1894 0.9768  1 Mo 1.86
11 O 0.9725 0.5830 0.2272  1 Mo 1.79
12 Mo 0.7241 0.0357 0.3139  4 O 1.78-1.84
13 O 0.7933 0.2218 0.2879  1 Mo 1.78
14 O 0.3715 0.5194 0.8067  1 Mo 1.78
15 O 0.6523 0.6523 0.4134  1 Mo 1.78
16 O 0.9198 0.6458 0.5442  1 Mo 1.79
17 O 0.5194 0.3715 0.8067  1 Mo 1.78
18 Mo 0.6427 0.6427 0.2066  4 O 1.78-1.86
19 Tl 0.6675 0.3325 0.5000  6 O 2.88-3.04
20 Tl 0.3325 0.6675 0.5000  6 O 2.88-3.04
21 Hf 0.0000 0.0000 0.0000  6 O 2.07-2.08
22 O 0.2067 0.7782 0.7121  1 Mo 1.78
23 Mo 0.3573 0.3573 0.7934  4 O 1.78-1.86
24 O 0.9714 0.1233 0.8073  1 Mo 1.84
25 Mo 0.0357 0.7241 0.3139  4 O 1.78-1.84
26 Tl 0.4362 0.0864 0.1280  3 O 2.66-2.72
27 Tl 0.5638 0.9136 0.8720  3 O 2.66-2.72
28 Tl 0.0864 0.4362 0.1280  3 O 2.66-2.72
29 O 0.5830 0.9725 0.2272  1 Mo 1.79
30 Tl 0.6941 0.6941 0.6835  1 O 2.50
31 O 0.3542 0.0802 0.4558  1 Mo 1.79
32 O 0.8106 0.8106 0.0232  1 Mo 1.86
33 O 0.7782 0.2067 0.7121  1 Mo 1.78
34 O 0.0802 0.3542 0.4558  1 Mo 1.79
35 Tl 0.9136 0.5638 0.8720  3 O 2.66-2.72
36 O 0.3477 0.3477 0.5866  1 Mo 1.78
37 Tl 0.3059 0.3059 0.3165  1 O 2.50
38 O 0.4170 0.0275 0.7728  1 Mo 1.79
39 O 0.8767 0.0286 0.1927  1 Mo 1.84

## Properties
DFT total energy = -251.806 eV per formula unit
Space group = C2/m, No. 12


No. 5
This record from the Alexandria database describes a geometry-optimized HfVMoO6 structure. The functional is GGA+U.

Lattice parameters (Å, degrees): 5.1554 5.1554 9.0337 90.00 90.00 120.00
With the nearest neighbours (Å) after each atom.
Fractional coordinates of all 18 atoms:
1 Mo 0.0000 0.0000 0.0000  6 O 2.09
2 O 0.0166 0.3429 0.6308  1 V 1.97, 1 Hf 2.08, 1 Mo 2.09
3 O 0.9834 0.3263 0.1308  1 V 1.97, 1 Hf 2.08, 1 Mo 2.09
4 O 0.3429 0.0166 0.1308  1 V 1.97, 1 Hf 2.08, 1 Mo 2.09
5 O 0.9834 0.6571 0.3692  1 V 1.97, 1 Hf 2.08, 1 Mo 2.09
6 Hf 0.6667 0.3333 0.7500  6 O 2.08
7 O 0.6737 0.0166 0.3692  1 V 1.97, 1 Hf 2.08, 1 Mo 2.09
8 O 0.3263 0.9834 0.6308  1 V 1.97, 1 Hf 2.08, 1 Mo 2.09
9 V 0.3333 0.6667 0.7500  6 O 1.97
10 O 0.6737 0.6571 0.1308  1 V 1.97, 1 Hf 2.08, 1 Mo 2.09
11 O 0.3429 0.3263 0.3692  1 V 1.97, 1 Hf 2.08, 1 Mo 2.09
12 V 0.6667 0.3333 0.2500  6 O 1.97
13 O 0.6571 0.9834 0.8692  1 V 1.97, 1 Hf 2.08, 1 Mo 2.09
14 O 0.6571 0.6737 0.6308  1 V 1.97, 1 Hf 2.08, 1 Mo 2.09
15 Hf 0.3333 0.6667 0.2500  6 O 2.08
16 O 0.3263 0.3429 0.8692  1 V 1.97, 1 Hf 2.08, 1 Mo 2.09
17 Mo 0.0000 0.0000 0.5000  6 O 2.09
18 O 0.0166 0.6737 0.8692  1 V 1.97, 1 Hf 2.08, 1 Mo 2.09

## Properties
DFT total energy = -74.868 eV per formula unit
Space group = P-31c, No. 163


No. 6
This record from the Alexandria database describes a geometry-optimized HfV2MoO6 structure. The functional is GGA+U.

Lattice parameters (Å, degrees): 5.3232 5.2972 5.7220 62.54 62.97 60.61
With the nearest neighbours (Å) after each atom.
Fractional coordinates of all 10 atoms:
1 V 0.5203 0.5221 0.4525  6 O 2.14-2.24
2 V 0.0146 0.0171 0.9513  6 O 2.02-2.17
3 O 0.2147 0.9268 0.2454  1 Hf 2.05, 2 V 2.14-2.15, 1 Mo 2.19
4 O 0.9298 0.6149 0.2353  1 Hf 2.06, 2 V 2.11-2.14, 1 Mo 2.18
5 O 0.7216 0.1108 0.7614  2 V 2.04-2.21, 1 Mo 2.16, 1 Hf 2.17
6 Hf 0.3179 0.3145 0.0541  6 O 2.04-2.17
7 O 0.1141 0.4009 0.7580  2 V 2.02-2.24, 1 Mo 2.17, 1 Hf 2.17
8 O 0.4030 0.7208 0.7652  2 V 2.06-2.19, 1 Hf 2.14, 1 Mo 2.15
9 Mo 0.8147 0.8152 0.5459  6 O 2.15-2.19
10 O 0.6109 0.2185 0.2461  1 Hf 2.04, 2 V 2.17, 1 Mo 2.17

## Properties
DFT total energy = -83.985 eV per formula unit
Space group = P1, No. 1